# BaMgFe

A geometry-optimized BaMgFe structure (PBE, Alexandria via LeMat-Bulk).

Output
DOS at the Fermi energy = 4.5 states/eV per cell
space-group type = F-43m, No. 216
E = -2.837 eV/atom

Cell: 5.4436 5.4436 5.4436 Å, 60.00 60.00 60.00°
Fractional positions:
1 Ba 0.7500 0.7500 0.7500
2 Fe 0.0000 0.0000 0.0000
3 Mg 0.5000 0.5000 0.5000